No. 1
SrBr3, relaxed, DFT GGA-PBE; raw formation energy = -1.308 eV per atom; total magnetization = 3.0 Bohr magnetons per cell; space group = R-3m (166)
1.0
4.775 0.000 0.000
-2.388 4.135 0.000
0.000 0.000 27.189
Sr Br
3 9
Direct
0.000 0.000 0.000
0.333 0.667 0.667
0.667 0.333 0.333
0.000 0.000 0.386
0.000 0.000 0.500
0.000 0.000 0.614
0.333 0.667 0.052
0.333 0.667 0.167
0.333 0.667 0.281
0.667 0.333 0.719
0.667 0.333 0.833
0.667 0.333 0.948

***

No. 2
SrBr2, relaxed, DFT GGA-PBE; raw formation energy = -1.966 eV per atom; total magnetization = 0.0 Bohr magnetons per cell; space group = P4/mmm (123)
1.0
5.128 0.000 0.000
0.000 5.128 0.000
0.000 0.000 3.968
Sr Br
1 2
Direct
0.000 0.000 0.000
0.000 0.500 0.500
0.500 0.000 0.500

***

No. 3
SrBr2, relaxed, DFT GGA-PBE; raw formation energy = -1.983 eV per atom; total magnetization = 0.0 Bohr magnetons per cell; space group = Pmmn (59)
1.0
4.468 0.000 0.000
0.000 22.581 0.000
0.000 0.000 6.372
Sr Br
4 8
Direct
0.250 0.087 0.057
0.250 0.413 0.057
0.750 0.587 0.943
0.750 0.913 0.943
0.250 0.538 0.236
0.250 0.655 0.757
0.250 0.845 0.757
0.250 0.962 0.236
0.750 0.038 0.764
0.750 0.155 0.243
0.750 0.345 0.243
0.750 0.462 0.764

***

No. 4
SrBr2, relaxed, DFT GGA-PBE; raw formation energy = -1.982 eV per atom; total magnetization = 0.0 Bohr magnetons per cell; space group = I4/mcm (140)
1.0
7.114 0.000 0.000
0.000 7.114 0.000
0.000 0.000 7.807
Sr Br
4 8
Direct
0.000 0.000 0.250
0.000 0.000 0.750
0.500 0.500 0.250
0.500 0.500 0.750
0.193 0.307 0.000
0.193 0.693 0.500
0.307 0.193 0.500
0.307 0.807 0.000
0.693 0.193 0.000
0.693 0.807 0.500
0.807 0.307 0.500
0.807 0.693 0.000

***

What did the second record say?
SrBr2, relaxed, DFT GGA-PBE; raw formation energy = -1.966 eV per atom; total magnetization = 0.0 Bohr magnetons per cell; space group = P4/mmm (123)
1.0
5.128 0.000 0.000
0.000 5.128 0.000
0.000 0.000 3.968
Sr Br
1 2
Direct
0.000 0.000 0.000
0.000 0.500 0.500
0.500 0.000 0.500